Entry 1:
The following is a meta-GGA SCAN calculation of a crystal of CrMo2 relaxed with PBEsol, from Alexandria via LeMat-Bulk.

```
data_CrMo2
_symmetry_space_group_name_H-M 'F m m m'
_symmetry_Int_Tables_number 69
_symmetry_space_group_name_Hall '-F 2 2'
_cell_length_a 3.0511
_cell_length_b 4.3256
_cell_length_c 12.7409
_cell_angle_alpha 90.00
_cell_angle_beta 90.00
_cell_angle_gamma 90.00
loop_
_atom_site_label
_atom_site_type_symbol
_atom_site_fract_x
_atom_site_fract_y
_atom_site_fract_z
Cr1 Cr 0.0000 0.0000 0.0000
Mo1 Mo 0.0000 0.0000 0.3392
```

* crystal system: orthorhombic
* magnetic moment: 0.000 μB/atom
* final energy: -29.30 eV/atom
* energy relative to the elements: 0.089 eV/atom

=====

Entry 2:
The following is a meta-GGA SCAN calculation of a crystal of SiHIr2O relaxed with PBEsol, from Alexandria via LeMat-Bulk.

```
data_SiHIr2O
_symmetry_space_group_name_H-M 'P 4/m m m'
_symmetry_Int_Tables_number 123
_symmetry_space_group_name_Hall '-P 4 2'
_cell_length_a 4.5049
_cell_length_b 4.5049
_cell_length_c 2.9510
_cell_angle_alpha 90.00
_cell_angle_beta 90.00
_cell_angle_gamma 90.00
loop_
_atom_site_label
_atom_site_type_symbol
_atom_site_fract_x
_atom_site_fract_y
_atom_site_fract_z
Si1 Si 0.0000 0.0000 0.0000
H1 H 0.0000 0.0000 0.5000
Ir1 Ir 0.0000 0.5000 0.0000
O1 O 0.5000 0.5000 0.5000
```

* crystal system: tetragonal
* magnetic moment: 0.001 μB/atom
* final energy: -31.26 eV/atom